VASP calculation (PBE-GGA) on an optimized crystal structure of TcSn2F.

Calculated values
Calculated density, Mg/m³: 7.85
Formation energy (no corrections), meV per atom: -190
Distance to the lowest polymorph of the same formula, eV per atom: 0.000
SG: I-42d

The structure in POSCAR format:
```
TcSn2F
1.0
-3.352 3.352 3.337
3.352 -3.352 3.337
3.352 3.352 -3.337
Tc Sn F
2 4 2
Direct
0.000 0.000 0.000 Tc
0.750 0.250 0.500 Tc
0.164 0.625 0.039 Sn
0.375 0.414 0.539 Sn
0.586 0.125 0.961 Sn
0.875 0.836 0.461 Sn
0.250 0.750 0.500 F
0.500 0.500 0.000 F
```

=====

VASP calculation (PBE-GGA) on an optimized crystal structure of TcSn2F.

Calculated values
Calculated density, Mg/m³: 7.90
Formation energy (no corrections), meV per atom: -152
Distance to the lowest polymorph of the same formula, eV per atom: 0.038
SG: Fm-3m

The structure in POSCAR format:
```
TcSn2F
1.0
0.000 3.340 3.340
3.340 0.000 3.340
3.340 3.340 0.000
Tc Sn F
1 2 1
Direct
0.000 0.000 0.000 Tc
0.250 0.250 0.250 Sn
0.750 0.750 0.750 Sn
0.500 0.500 0.500 F
```

=====

VASP calculation (PBE-GGA) on an optimized crystal structure of TcSnF2.

Calculated values
Calculated density, Mg/m³: 6.94
Formation energy (no corrections), meV per atom: -551
Distance to the lowest polymorph of the same formula, eV per atom: 0.348
SG: R-3m

The structure in POSCAR format:
```
TcSnF2
1.0
1.453 0.839 8.335
-1.453 0.839 8.335
0.000 -1.678 8.335
Tc Sn F
1 1 2
Direct
0.000 0.000 0.000 Tc
0.500 0.500 0.500 Sn
0.406 0.406 0.406 F
0.594 0.594 0.594 F
```